Entry from Alexandria: crystalline CuIrCl2 at its relaxed geometry (PBE-GGA).

Summary:
- M_tot: 0.00 μB/atom
- Uncorrected formation energy: 417 meV per atom

Cell: 3.335 3.364 7.337 Å, 90.00 90.00 90.00°
Sites, in units of the cell vectors:
Ir (0.500, 0.500, 0.675)
Cu (0.000, 0.000, 0.561)
Cl (0.000, 0.000, 0.907)
Cl (0.500, 0.500, 0.357)

***

Entry from Alexandria: crystalline Cu3IrCl at its relaxed geometry (PBE-GGA).

Summary:
- M_tot: 0.00 μB/atom
- Uncorrected formation energy: 1011 meV per atom

Cell: 4.713 4.713 4.713 Å, 90.00 90.00 90.00°
Sites, in units of the cell vectors:
Ir (0.000, 0.000, 0.000)
Cu (0.000, 0.500, 0.000)
Cu (0.000, 0.000, 0.500)
Cu (0.500, 0.000, 0.000)
Cl (0.500, 0.500, 0.500)

***

Entry from Alexandria: crystalline CuIrCl2 at its relaxed geometry (PBE-GGA).

Summary:
- M_tot: 0.00 μB/atom
- Uncorrected formation energy: 120 meV per atom

Cell: 7.015 7.015 7.015 Å, 152.20 144.67 45.54°
Sites, in units of the cell vectors:
Ir (0.250, 0.750, 0.500)
Cu (0.750, 0.250, 0.500)
Cl (0.122, 0.122, 0.000)
Cl (0.378, 0.378, 0.000)

***

Entry from Alexandria: crystalline Cu2IrCl at its relaxed geometry (PBE-GGA).

Summary:
- M_tot: 0.00 μB/atom
- Uncorrected formation energy: 732 meV per atom

Cell: 4.896 4.896 4.896 Å, 135.18 135.18 65.25°
Sites, in units of the cell vectors:
Ir (0.500, 0.500, 0.000)
Cu (0.000, 0.000, 0.000)
Cu (0.250, 0.750, 0.500)
Cl (0.750, 0.250, 0.500)

***

Entry from Alexandria: crystalline CuIrCl2 at its relaxed geometry (PBE-GGA).

Summary:
- M_tot: 0.47 μB/atom
- Uncorrected formation energy: 599 meV per atom

Cell: 7.782 7.782 7.782 Å, 23.41 23.41 23.41°
Sites, in units of the cell vectors:
Ir (0.750, 0.750, 0.750)
Cu (0.250, 0.250, 0.250)
Cl (0.990, 0.990, 0.990)
Cl (0.510, 0.510, 0.510)

***

Entry from Alexandria: crystalline Cu2IrCl at its relaxed geometry (PBE-GGA).

Summary:
- M_tot: 0.00 μB/atom
- Uncorrected formation energy: 743 meV per atom

Cell: 4.865 4.865 4.865 Å, 134.72 134.72 65.97°
Sites, in units of the cell vectors:
Ir (0.250, 0.750, 0.500)
Cu (0.000, 0.000, 0.000)
Cu (0.500, 0.500, 0.000)
Cl (0.750, 0.250, 0.500)

***

> What is the M_tot in the fifth record?

0.47 μB/atom

***

> Among the records above, which one has the highest M_tot?

number 5

***

> Among the records above, which one has the highest M_tot?

number 5